Computed, not measured: a relaxed structure of RbYAg2Pt at the PBE level of DFT.

Summary:
* ΔE_f: 8.2 eV per formula unit
* DOS(E_F): 5.100 states/eV per cell
* total magnetic moment: 0.0 μB/cell

a b c (Å): 5.152 5.152 5.893
angles (deg): 90.00 90.00 90.00
Space group P4/mmm (No. 123)
Inequivalent atoms, fractional coordinates:
Rb 0.000 0.000 0.000 (multiplicity 1)
Y 0.000 0.000 0.500 (multiplicity 1)
Ag 0.000 0.500 0.000 (multiplicity 2)
Pt 0.500 0.500 0.500 (multiplicity 1)



Computed, not measured: a relaxed structure of YSc4Sn at the PBE level of DFT.

Summary:
* ΔE_f: -1.4 eV per formula unit
* DOS(E_F): 38.083 states/eV per cell
* total magnetic moment: 0.0 μB/cell

a b c (Å): 3.451 18.685 9.479
angles (deg): 90.00 90.00 90.00
Space group Cmcm (No. 63)
Inequivalent atoms, fractional coordinates:
Y 0.000 0.105 0.250 (multiplicity 4)
Sc 0.000 0.078 0.750 (multiplicity 4)
Sc 0.000 0.327 0.031 (multiplicity 8)
Sc 0.000 0.500 0.000 (multiplicity 4)
Sn 0.000 0.248 0.750 (multiplicity 4)



Computed, not measured: a relaxed structure of TbGe2IrRh2 at the PBE level of DFT.

Summary:
* ΔE_f: -1.0 eV per formula unit
* DOS(E_F): 6.461 states/eV per cell
* total magnetic moment: 0.0 μB/cell

a b c (Å): 4.646 4.646 5.513
angles (deg): 90.00 90.00 90.00
Space group P4/mmm (No. 123)
Inequivalent atoms, fractional coordinates:
Tb 0.000 0.000 0.000 (multiplicity 1)
Ge 0.000 0.500 0.500 (multiplicity 2)
Ir 0.000 0.000 0.500 (multiplicity 1)
Rh 0.500 0.500 0.245 (multiplicity 2)



Computed, not measured: a relaxed structure of Na2ErHf2Se6 at the PBE level of DFT.

Summary:
* DOS(E_F): 7.990 states/eV per cell
* ΔE_f (raw): -1442 meV/atom
* total magnetic moment: 0.0 μB/cell

a b c (Å): 6.711 11.701 7.520
angles (deg): 90.00 107.01 90.00
Space group C2/m (No. 12)
Inequivalent atoms, fractional coordinates:
Na 0.000 0.162 0.000 (multiplicity 4)
Er 0.000 0.000 0.500 (multiplicity 2)
Hf 0.000 0.333 0.500 (multiplicity 4)
Se 0.223 0.500 0.721 (multiplicity 4)
Se 0.246 0.173 0.721 (multiplicity 8)



Computed, not measured: a relaxed structure of In2RhPb at the PBE level of DFT.

Summary:
* ΔE_f: 0.6 eV per formula unit
* DOS(E_F): 2.186 states/eV per cell
* total magnetic moment: 0.0 μB/cell

a b c (Å): 4.551 4.551 4.328
angles (deg): 90.00 90.00 90.00
Space group P4/mmm (No. 123)
Inequivalent atoms, fractional coordinates:
In 0.000 0.500 0.000 (multiplicity 2)
Rh 0.000 0.000 0.500 (multiplicity 1)
Pb 0.500 0.500 0.500 (multiplicity 1)



Going through the records in order, we get total energy values of -2.202 -6.192 -6.408 -5.807 -3.976 eV per atom.